No. 1
Computed, not measured: crystalline TcIO at its relaxed geometry at the PBE level of DFT.

The calculation puts the total magnetic moment at 0.000 μB/atom. As for the uncorrected energy: -5.912 eV/atom. The value obtained for the uncorrected formation energy is -286.8 meV per atom.

The structure belongs to space group P3_2 (No. 145); the cell edges are 6.1858, 6.1858 and 6.5956 Å and the angles 90.00°, 90.00° and 120.00°. The asymmetric unit holds Tc at (0.1107, 0.4433, 0.0000), I at (0.3325, 0.3284, 0.3336) and O at (0.0735, 0.6659, 0.1666).

---

No. 2
Computed, not measured: crystalline TcIO2 at its relaxed geometry at the PBE level of DFT.

The calculation puts the total magnetic moment at 0.000 μB/atom. For the energy above the most stable polymorph in this dataset, the calculation gives 45 meV per atom. As for the uncorrected energy: -6.123 eV/atom. The value obtained for the uncorrected formation energy is -664.4 meV per atom.

The structure belongs to space group Fd-3m (No. 227, origin choice 2); the cell edges are 8.5116, 8.5116 and 8.5116 Å and the angles 90.00°, 90.00° and 90.00°. The asymmetric unit holds Tc at (0.1250, 0.1250, 0.1250), I at (0.1250, 0.1250, 0.6250) and O at (0.0000, 0.0000, 0.0000).

---

No. 3
Computed, not measured: crystalline TcIO2 at its relaxed geometry at the PBE level of DFT.

The calculation puts the total magnetic moment at 0.717 μB/atom. For the energy above the most stable polymorph in this dataset, the calculation gives 0 meV per atom. As for the uncorrected energy: -6.168 eV/atom. The value obtained for the uncorrected formation energy is -709.4 meV per atom.

The structure belongs to space group R-3m (No. 166, hexagonal axes); the cell edges are 3.2028, 3.2028 and 30.1239 Å and the angles 90.00°, 90.00° and 120.00°. The asymmetric unit holds Tc at (0.0000, 0.0000, 0.0000), I at (0.0000, 0.0000, 0.5000) and O at (0.0000, 0.0000, 0.3642).

---

What did the third record say?
Computed, not measured: crystalline TcIO2 at its relaxed geometry at the PBE level of DFT.

The calculation puts the total magnetic moment at 0.717 μB/atom. For the energy above the most stable polymorph in this dataset, the calculation gives 0 meV per atom. As for the uncorrected energy: -6.168 eV/atom. The value obtained for the uncorrected formation energy is -709.4 meV per atom.

The structure belongs to space group R-3m (No. 166, hexagonal axes); the cell edges are 3.2028, 3.2028 and 30.1239 Å and the angles 90.00°, 90.00° and 120.00°. The asymmetric unit holds Tc at (0.0000, 0.0000, 0.0000), I at (0.0000, 0.0000, 0.5000) and O at (0.0000, 0.0000, 0.3642).

---

Please write out number 2 again, unchanged.
Computed, not measured: crystalline TcIO2 at its relaxed geometry at the PBE level of DFT.

The calculation puts the total magnetic moment at 0.000 μB/atom. For the energy above the most stable polymorph in this dataset, the calculation gives 45 meV per atom. As for the uncorrected energy: -6.123 eV/atom. The value obtained for the uncorrected formation energy is -664.4 meV per atom.

The structure belongs to space group Fd-3m (No. 227, origin choice 2); the cell edges are 8.5116, 8.5116 and 8.5116 Å and the angles 90.00°, 90.00° and 90.00°. The asymmetric unit holds Tc at (0.1250, 0.1250, 0.1250), I at (0.1250, 0.1250, 0.6250) and O at (0.0000, 0.0000, 0.0000).

---

- Among the records above, which one has the lowest uncorrected energy?
  number 3